Computed, not measured: a PBEsol-optimized structure of AlZn2Bi at the meta-GGA SCAN level of DFT.

Unit cell a=4.8663 b=4.8663 c=4.8663 alpha=60.00 beta=60.00 gamma=60.00
Sites, in units of the cell vectors:
Zn: 0.2500 0.2500 0.2500
Zn: 0.7500 0.7500 0.7500
Al: 0.0000 0.0000 0.0000
Bi: 0.5000 0.5000 0.5000

Results
* energy relative to the elements: 350 meV per atom
* calculated volume: 20.37 Å³/atom
* calculated total energy: -112.0 eV for the cell shown